# Mg3CdSn3

An optimized crystal structure of Mg3CdSn3 (GGA-PBE, the Alexandria database).

Geometry as extended XYZ:
```
14
Lattice="8.021 0.000 0.000 0.000 8.021 0.000 0.000 0.000 8.021" Properties=species:S:1:pos:R:3 pbc="T T T"
Mg 4.010 6.015 0.000
Mg 0.000 4.010 2.005
Mg 6.015 0.000 4.010
Mg 2.005 0.000 4.010
Mg 0.000 4.010 6.015
Mg 4.010 2.005 0.000
Sn 0.000 2.005 4.010
Sn 6.015 4.010 0.000
Sn 4.010 0.000 6.015
Sn 2.005 4.010 0.000
Sn 4.010 0.000 2.005
Sn 0.000 6.015 4.010
Cd 4.010 4.010 4.010
Cd 0.000 0.000 0.000
```

Properties
space-group type: No. 223
final energy: -2.062 eV per atom
energy of formation: 0.47 eV/atom
energy above the lowest structure with this stoichiometry: 3.47 eV per formula unit